## AgBr2 (PBE)

Data for a relaxed structure of AgBr2.

Total magnetization   0.001 μB per atom
E_form (uncorrected)   0.051 eV/atom
SG   I4/mcm, No. 140
Density of states at the Fermi level   4.2 states/eV/f.u.

a = 5.851 Å, b = 5.851 Å, c = 5.851 Å
α = 112.30°, β = 112.30°, γ = 103.94°
Element x y z (fractional)
Br 0.828 0.672 0.500
Br 0.172 0.328 0.500
Br 0.672 0.172 0.845
Br 0.328 0.828 0.155
Ag 0.750 0.750 0.000
Ag 0.250 0.250 0.000



## ZrGa2Os2 (PBE)

Data for a relaxed structure of ZrGa2Os2.

Total magnetization   0.000 μB per atom
Formation energy from the elements   -0.163 eV per atom
SG   P4/mbm, No. 127
Density of states at the Fermi level   3.3 states/eV/f.u.
Offset from the most stable computed form   0.0 meV/atom

a = 7.311 Å, b = 7.311 Å, c = 2.972 Å
α = 90.00°, β = 90.00°, γ = 90.00°
Element x y z (fractional)
Os 0.829 0.329 0.500
Os 0.329 0.171 0.500
Os 0.171 0.671 0.500
Os 0.671 0.829 0.500
Zr 0.500 0.500 0.000
Zr 0.000 0.000 0.000
Ga 0.127 0.373 0.000
Ga 0.873 0.627 0.000
Ga 0.627 0.127 0.000
Ga 0.373 0.873 0.000



Please write out number 1 again, unchanged.
## AgBr2 (PBE)

Data for a relaxed structure of AgBr2.

Total magnetization   0.001 μB per atom
E_form (uncorrected)   0.051 eV/atom
SG   I4/mcm, No. 140
Density of states at the Fermi level   4.2 states/eV/f.u.

a = 5.851 Å, b = 5.851 Å, c = 5.851 Å
α = 112.30°, β = 112.30°, γ = 103.94°
Element x y z (fractional)
Br 0.828 0.672 0.500
Br 0.172 0.328 0.500
Br 0.672 0.172 0.845
Br 0.328 0.828 0.155
Ag 0.750 0.750 0.000
Ag 0.250 0.250 0.000